Material: Mn2TeOs
Method: DFT, PBE
State: relaxed

a b c (Å): 3.894 3.894 3.985
angles (deg): 90.00 90.00 90.00
Atoms (fractional coordinates):
Mn1 0.000 0.500 0.000
Mn2 0.500 0.000 0.000
Te1 0.000 0.000 0.500
Os1 0.500 0.500 0.500

Calculated values
Space group = P4/mmm, No. 123
Total energy = -31.00 eV per formula unit
Uncorrected formation energy = 427 meV per atom